# 1
InPt17 | the Open Quantum Materials Database | PBE | optimized geometry; total magnetic moment = 0.02 μB/f.u.; E = -5.840 eV per atom
1.0
-0.9544 4.1219 2.2910
0.9214 -2.5000 4.8816
32.7420 8.5254 -1.8138
Pt In
34 2
Direct
0.9994 0.2500 0.2046 Pt
0.1670 0.5003 0.0683 Pt
0.8327 0.5058 0.7265 Pt
0.5000 0.5000 0.0000 Pt
0.1673 0.4942 0.2735 Pt
0.5008 0.0024 0.7944 Pt
0.3299 0.7500 0.7262 Pt
0.9998 0.2500 0.9999 Pt
0.8330 0.4997 0.9317 Pt
0.6701 0.2500 0.2738 Pt
0.0006 0.7500 0.7954 Pt
0.4992 0.5024 0.2056 Pt
0.1673 0.0058 0.2735 Pt
0.5000 0.0000 0.0000 Pt
0.0053 0.2500 0.7937 Pt
0.3321 0.2500 0.1360 Pt
0.8330 0.0003 0.9317 Pt
0.6678 0.2500 0.0684 Pt
0.6679 0.7500 0.8640 Pt
0.5008 0.4976 0.7944 Pt
0.0002 0.7500 0.0001 Pt
0.6661 0.2500 0.8632 Pt
0.8326 0.5008 0.1369 Pt
0.3331 0.2500 0.9316 Pt
0.9947 0.7500 0.2063 Pt
0.6669 0.7500 0.0684 Pt
0.8327 0.9942 0.7265 Pt
0.1674 0.0008 0.8631 Pt
0.3339 0.7500 0.1368 Pt
0.8326 0.9992 0.1369 Pt
0.4992 0.9976 0.2056 Pt
0.3322 0.7500 0.9316 Pt
0.1674 0.4992 0.8631 Pt
0.1670 0.9997 0.0683 Pt
0.3334 0.2500 0.7144 In
0.6666 0.7500 0.2856 In

# 2
RbLiTmO2 | the Open Quantum Materials Database | PBE | optimized geometry; total magnetic moment = 0.01 μB/f.u.; E = -5.527 eV per atom
1.0
5.7199 -1.8113 0.0000
5.7199 1.8113 0.0000
-3.0059 0.0000 9.5704
Tm Li O Rb
2 2 4 2
Direct
0.0320 0.0320 0.6670 Tm
0.9680 0.9680 0.3330 Tm
0.3214 0.3214 0.5511 Li
0.6786 0.6786 0.4489 Li
0.5365 0.5365 0.2731 O
0.4635 0.4635 0.7269 O
0.1336 0.1336 0.5175 O
0.8664 0.8664 0.4825 O
0.8496 0.8496 0.8789 Rb
0.1504 0.1504 0.1211 Rb